# RbPtNF2 (PBE-GGA, optimized geometry)
# DOS(E_F) = 10.57 states/eV/f.u.
# V = 134.57 Å³ per cell
# Offset from the most stable computed form = 1.893 eV/atom
# ΔE_f (raw) = 0.971 eV per atom
data_RbPtNF2
_space_group_name_H-M_alt 'P 4/m m m'
_space_group_IT_number 123
_space_group_name_Hall '-P 4 2'
_cell_length_a 5.0187
_cell_length_b 5.0187
_cell_length_c 5.3428
_cell_angle_alpha 90.00
_cell_angle_beta 90.00
_cell_angle_gamma 90.00
loop_
_atom_site_label
_atom_site_fract_x
_atom_site_fract_y
_atom_site_fract_z
Rb1 0.0000 0.0000 0.0000
Pt1 0.5000 0.5000 0.5000
N1 0.0000 0.0000 0.5000
F1 0.0000 0.5000 0.0000

# BaLiCaSi (PBE-GGA, optimized geometry)
# DOS(E_F) = 1.70 states/eV/f.u.
# V = 467.33 Å³ per cell
# ΔE_f (raw) = -0.171 eV per atom
data_BaLiCaSi
_space_group_name_H-M_alt 'F -4 3 m'
_space_group_IT_number 216
_space_group_name_Hall 'F -4 2 3'
_cell_length_a 7.7602
_cell_length_b 7.7602
_cell_length_c 7.7602
_cell_angle_alpha 90.00
_cell_angle_beta 90.00
_cell_angle_gamma 90.00
loop_
_atom_site_label
_atom_site_fract_x
_atom_site_fract_y
_atom_site_fract_z
Ba1 0.0000 0.0000 0.0000
Li1 0.2500 0.2500 0.2500
Ca1 0.0000 0.0000 0.5000
Si1 0.2500 0.2500 0.7500

What did the first record say?
# RbPtNF2 (PBE-GGA, optimized geometry)
# DOS(E_F) = 10.57 states/eV/f.u.
# V = 134.57 Å³ per cell
# Offset from the most stable computed form = 1.893 eV/atom
# ΔE_f (raw) = 0.971 eV per atom
data_RbPtNF2
_space_group_name_H-M_alt 'P 4/m m m'
_space_group_IT_number 123
_space_group_name_Hall '-P 4 2'
_cell_length_a 5.0187
_cell_length_b 5.0187
_cell_length_c 5.3428
_cell_angle_alpha 90.00
_cell_angle_beta 90.00
_cell_angle_gamma 90.00
loop_
_atom_site_label
_atom_site_fract_x
_atom_site_fract_y
_atom_site_fract_z
Rb1 0.0000 0.0000 0.0000
Pt1 0.5000 0.5000 0.5000
N1 0.0000 0.0000 0.5000
F1 0.0000 0.5000 0.0000

> Look up the ΔE_f (raw) of the first one.

0.971 eV per atom

> Which value of ΔE_f (raw) does entry 1 give?

0.971 eV per atom

> The lowest DOS(E_F) belongs to which entry?

BaLiCaSi